## Sc4Zn3Mo2N3 (PBE)

Data for a geometry-optimized Sc4Zn3Mo2N3 structure.

```
24
Lattice="2.238 4.459 -2.303 -2.884 4.671 -0.236 5.155 0.571 12.711" Properties=species:S:1:pos:R:3 pbc="T T T"
N 3.696 2.515 5.204
Zn 3.364 3.777 8.719
Mo 1.422 5.378 4.202
Zn 1.144 5.923 1.454
Sc 1.497 2.227 4.766
Sc 4.498 8.579 9.083
N -1.710 5.410 -0.952
Zn 3.186 6.231 8.025
Sc 4.966 2.475 10.762
Mo 4.852 5.628 10.213
Sc -0.458 7.225 -0.589
Mo 3.086 4.323 5.971
Sc 3.405 1.373 7.115
Zn 1.322 3.470 2.147
Sc 0.010 1.122 1.090
N 0.979 4.115 5.843
Zn 5.347 4.918 7.535
Mo -0.344 4.073 -0.040
N 3.529 5.585 4.329
Zn -0.839 4.782 2.637
Sc 3.011 7.474 5.406
Sc 1.103 8.327 3.057
N -1.442 2.335 -0.118
N 1.063 3.720 -1.587
```

Values from the calculation:
- DFT total energy: -7.15 eV per atom
- Symmetry: C2/c (15)

=====

## CoCuSnGe (PBE)

Data for a geometry-optimized CoCuSnGe structure.

```
4
Lattice="0.000 3.127 3.127 3.127 0.000 3.127 3.127 3.127 0.000" Properties=species:S:1:pos:R:3 pbc="T T T"
Ge 0.000 0.000 0.000
Co 1.564 1.564 1.564
Sn 3.127 3.127 3.127
Cu 4.691 4.691 4.691
```

Values from the calculation:
- DFT total energy: -4.63 eV per atom
- Symmetry: F-43m (216)

=====

What did the first record say?
## Sc4Zn3Mo2N3 (PBE)

Data for a geometry-optimized Sc4Zn3Mo2N3 structure.

```
24
Lattice="2.238 4.459 -2.303 -2.884 4.671 -0.236 5.155 0.571 12.711" Properties=species:S:1:pos:R:3 pbc="T T T"
N 3.696 2.515 5.204
Zn 3.364 3.777 8.719
Mo 1.422 5.378 4.202
Zn 1.144 5.923 1.454
Sc 1.497 2.227 4.766
Sc 4.498 8.579 9.083
N -1.710 5.410 -0.952
Zn 3.186 6.231 8.025
Sc 4.966 2.475 10.762
Mo 4.852 5.628 10.213
Sc -0.458 7.225 -0.589
Mo 3.086 4.323 5.971
Sc 3.405 1.373 7.115
Zn 1.322 3.470 2.147
Sc 0.010 1.122 1.090
N 0.979 4.115 5.843
Zn 5.347 4.918 7.535
Mo -0.344 4.073 -0.040
N 3.529 5.585 4.329
Zn -0.839 4.782 2.637
Sc 3.011 7.474 5.406
Sc 1.103 8.327 3.057
N -1.442 2.335 -0.118
N 1.063 3.720 -1.587
```

Values from the calculation:
- DFT total energy: -7.15 eV per atom
- Symmetry: C2/c (15)

=====

Q: Among the records above, which one has the highest DFT total energy?
A: CoCuSnGe

=====

Q: DFT total energy of number 1 (Sc4Zn3Mo2N3)?
A: -7.15 eV per atom